Density functional theory data (PBE+U) for an optimized crystal structure of NbHgWO6.

abc: 7.6105 7.3557 7.4732
angles: 119.48 120.61 90.00
With the nearest neighbours (Å) after each atom.
Sites, in units of the cell vectors:
O: 0.8185 0.0685 0.6370  2 Nb 2.04
Nb: 0.0000 0.0000 0.5000  6 O 2.00-2.04
O: 0.1977 0.3141 0.7544  1 W 1.94, 1 Nb 2.00
W: 0.5000 0.5000 0.0000  6 O 1.94
O: 0.1977 0.9403 0.7544  1 W 1.94, 1 Nb 2.00
O: 0.1815 0.9315 0.3630  2 Nb 2.04
O: 0.5583 0.3083 0.1165  2 W 1.94
O: 0.8023 0.6859 0.2456  1 W 1.94, 1 Nb 2.00
O: 0.5566 0.3141 0.7544  1 W 1.94, 1 Nb 2.00
Hg: 0.9584 0.7084 0.9169  1 O 2.35
O: 0.8023 0.0597 0.2456  1 W 1.94, 1 Nb 2.00
O: 0.4417 0.6917 0.8835  2 W 1.94
O: 0.5566 0.9403 0.7544  1 W 1.94, 1 Nb 2.00
O: 0.4434 0.6859 0.2456  1 W 1.94, 1 Nb 2.00
O: 0.4434 0.0597 0.2456  1 W 1.94, 1 Nb 2.00
W: 0.5000 0.0000 0.0000  6 O 1.94
Nb: 0.5000 0.0000 0.5000  6 O 2.00-2.04
Hg: 0.0416 0.2916 0.0831  1 O 2.35

## Properties
Spin magnetization   0.000 μB/f.u.
Energy   -63.58 eV/f.u.
Symmetry   Imma, No. 74